Here is ZrCuB3 at its PBEsol-relaxed geometry from Alexandria. Energies are from meta-GGA SCAN.

abc: 4.301 4.301 4.301
angles: 90.00 90.00 90.00
Element x y z (fractional)
B 0.000 0.500 0.000
B 0.000 0.000 0.500
B 0.500 0.000 0.000
Cu 0.500 0.500 0.500
Zr 0.000 0.000 0.000

Here is Ca2Sn2Bi at its PBEsol-relaxed geometry from Alexandria. Energies are from meta-GGA SCAN.

abc: 4.531 8.035 8.035
angles: 90.00 90.00 90.00
Element x y z (fractional)
Ca 0.500 0.174 0.674
Ca 0.500 0.674 0.826
Ca 0.500 0.826 0.326
Ca 0.500 0.326 0.174
Bi 0.000 0.000 0.000
Bi 0.000 0.500 0.500
Sn 0.000 0.375 0.875
Sn 0.000 0.875 0.625
Sn 0.000 0.625 0.125
Sn 0.000 0.125 0.375

Here is Si2SbRh at its PBEsol-relaxed geometry from Alexandria. Energies are from meta-GGA SCAN.

abc: 4.547 4.547 4.547
angles: 60.00 60.00 60.00
Element x y z (fractional)
Rh 0.000 0.000 0.000
Sb 0.500 0.500 0.500
Si 0.250 0.250 0.250
Si 0.750 0.750 0.750

Here is CrCd2Se at its PBEsol-relaxed geometry from Alexandria. Energies are from meta-GGA SCAN.

abc: 3.034 3.034 8.010
angles: 90.00 90.00 90.00
Element x y z (fractional)
Cd 0.000 0.000 0.007
Cd 0.500 0.500 0.286
Cr 0.000 0.000 0.530
Se 0.500 0.500 0.677

Here is TaGeTe2Br at its PBEsol-relaxed geometry from Alexandria. Energies are from meta-GGA SCAN.

abc: 4.661 5.583 5.583
angles: 90.00 90.00 90.00
Element x y z (fractional)
Ge 0.500 0.500 0.500
Te 0.000 0.000 0.500
Te 0.000 0.500 0.000
Br 0.000 0.000 0.000
Ta 0.500 0.000 0.000

Here is Al2Au3 at its PBEsol-relaxed geometry from Alexandria. Energies are from meta-GGA SCAN.

abc: 3.043 3.043 10.454
angles: 81.63 81.63 60.00
Element x y z (fractional)
Au 0.000 0.000 0.000
Au 0.205 0.205 0.386
Au 0.795 0.795 0.614
Al 0.601 0.601 0.197
Al 0.399 0.399 0.803

Here is CdHg2Br2 at its PBEsol-relaxed geometry from Alexandria. Energies are from meta-GGA SCAN.

abc: 5.486 5.486 6.563
angles: 114.71 114.71 90.00
Element x y z (fractional)
Br 0.663 0.663 0.327
Br 0.337 0.337 0.673
Cd 0.000 0.000 0.000
Hg 0.250 0.750 0.500
Hg 0.750 0.250 0.500

Here is Hg2IrOs at its PBEsol-relaxed geometry from Alexandria. Energies are from meta-GGA SCAN.

For the relative energy among the computed polymorphs, the calculation gives 155 meV/atom.

abc: 4.057 4.057 4.981
angles: 114.03 114.03 90.00
Element x y z (fractional)
Hg 0.750 0.250 0.500
Hg 0.250 0.750 0.500
Ir 0.500 0.500 0.000
Os 0.000 0.000 0.000

no.,final energy (eV/cell)
1,-57.8
2,-345.9
3,-89.1
4,-99.4
5,-171.8
6,-225.1
7,-205.0
8,-275.3